(1)
Material: NaSrSn2Au2
Method: DFT, PBE
State: optimized geometry

formation energy from the elements = -521 meV per atom
calculated total energy = -3.448 eV/atom
volume = 151.77 Å³/cell

a = 4.829 Å, b = 4.829 Å, c = 7.514 Å
α = 90.00°, β = 90.00°, γ = 120.00°
Fractional coordinates of all 6 atoms:
1 Na 0.000 0.000 0.000
2 Sr 0.000 0.000 0.500
3 Sn 0.333 0.667 0.796
4 Sn 0.667 0.333 0.204
5 Au 0.333 0.667 0.209
6 Au 0.667 0.333 0.791



(2)
Material: NaTaSn2Au
Method: DFT, PBE
State: optimized geometry

formation energy from the elements = 325 meV per atom
calculated total energy = -4.566 eV/atom
volume = 152.36 Å³/cell

a = 5.387 Å, b = 5.387 Å, c = 5.250 Å
α = 90.00°, β = 90.00°, γ = 90.00°
Fractional coordinates of all 5 atoms:
1 Na 0.000 0.000 0.000
2 Ta 0.500 0.500 0.500
3 Sn 0.000 0.500 0.500
4 Sn 0.500 0.000 0.500
5 Au 0.500 0.500 0.000



(3)
Material: NaTbSnAu
Method: DFT, PBE
State: optimized geometry

formation energy from the elements = -503 meV per atom
calculated total energy = -3.810 eV/atom
volume = 96.13 Å³/cell

a = 5.142 Å, b = 5.142 Å, c = 5.142 Å
α = 60.00°, β = 60.00°, γ = 60.00°
Fractional coordinates of all 4 atoms:
1 Na 0.000 0.000 0.000
2 Tb 0.500 0.500 0.500
3 Sn 0.750 0.750 0.750
4 Au 0.250 0.250 0.250



(4)
Material: NaSnTe2Au
Method: DFT, PBE
State: optimized geometry

calculated total energy = -3.378 eV/atom
volume = 319.08 Å³/cell
raw formation energy = -0.401 eV/atom

a = 7.562 Å, b = 5.287 Å, c = 8.619 Å
α = 90.00°, β = 112.18°, γ = 90.00°
Fractional coordinates of all 10 atoms:
1 Na 0.000 0.203 0.250
2 Na 0.000 0.797 0.750
3 Sn 0.500 0.365 0.750
4 Sn 0.500 0.635 0.250
5 Te 0.216 0.299 0.993
6 Te 0.216 0.701 0.493
7 Te 0.784 0.299 0.507
8 Te 0.784 0.701 0.007
9 Au 0.500 0.000 0.000
10 Au 0.500 0.000 0.500



What is the formula in the fourth record?
NaSnTe2Au